DyEr3Ru2 after structural relaxation. Source: Alexandria, functional GGA-PBE.

```
DyEr3Ru2
1.0
4.2959 0.0000 0.0000
0.0000 7.4575 0.0000
0.0000 0.0000 8.7831
Dy Er Ru
2 6 4
direct
0.5000 0.5200 0.5837
0.5000 0.0200 0.4163
0.0000 0.4797 0.9164
0.0000 0.9797 0.0836
0.5000 0.6477 0.1805
0.5000 0.1477 0.8195
0.0000 0.3526 0.3173
0.0000 0.8526 0.6827
0.5000 0.7546 0.8660
0.5000 0.2546 0.1340
0.0000 0.2454 0.6356
0.0000 0.7454 0.3644
```

Results
Total magnetization (μB per cell): 0.00
ρ (g/cm3): 10.23
Energy relative to the elements (eV per atom): -0.378
Calculated volume (Å³/atom): 23.4